LaPmPr2H: optimized geometry, GGA-PBE.

Output
As for the space group: P4/mmm.

The structure in CIF format:
```
data_LaPmPr2H
_chemical_formula_sum 'La1 Pm1 Pr2 H1'
_cell_length_a 5.224
_cell_length_b 5.224
_cell_length_c 5.202
_cell_angle_alpha 90.00
_cell_angle_beta 90.00
_cell_angle_gamma 90.00
_space_group_name_H-M_alt 'P 1'
_space_group_IT_number 1
_space_group_name_Hall 'P 1'
loop_
_atom_site_label
_atom_site_type_symbol
_atom_site_fract_x
_atom_site_fract_y
_atom_site_fract_z
La1 La 0.000 0.000 0.000
Pm1 Pm 0.500 0.500 0.000
Pr1 Pr 0.000 0.500 0.500
Pr2 Pr 0.500 0.000 0.500
H1 H 0.500 0.500 0.500
```

---

LaPm2PrH: optimized geometry, GGA-PBE.

Output
As for the space group: P4/mmm.

The structure in CIF format:
```
data_LaPm2PrH
_chemical_formula_sum 'La1 Pm2 Pr1 H1'
_cell_length_a 5.186
_cell_length_b 5.186
_cell_length_c 5.205
_cell_angle_alpha 90.00
_cell_angle_beta 90.00
_cell_angle_gamma 90.00
_space_group_name_H-M_alt 'P 1'
_space_group_IT_number 1
_space_group_name_Hall 'P 1'
loop_
_atom_site_label
_atom_site_type_symbol
_atom_site_fract_x
_atom_site_fract_y
_atom_site_fract_z
La1 La 0.000 0.000 0.000
Pm1 Pm 0.000 0.500 0.500
Pm2 Pm 0.500 0.000 0.500
Pr1 Pr 0.500 0.500 0.000
H1 H 0.500 0.500 0.500
```

---

no.,electronic total energy (Ry/atom)
1,-0.345
2,-0.345